Record 1
{
  "formula": "Sr2BeAl",
  "functional": "SCAN",
  "state": "PBEsol geometry",
  "lattice_angstrom": [[-3.894, -0.250, 5.137], [-0.789, -6.047, 3.158], [2.747, 1.153, 6.188]],
  "species": ["Al", "Sr", "Sr", "Sr", "Be", "Al", "Sr", "Be"],
  "fractional_positions": [[0.750, 0.500, 0.500], [0.875, 0.535, 0.965], [0.375, 0.465, 0.035], [0.590, 0.035, 0.535], [0.250, 0.500, 0.500], [0.000, 0.000, 0.000], [0.160, 0.965, 0.465], [0.500, 0.000, 0.000]],
  "formation_energy_kcal_per_mol_atoms": 14.4
}



Record 2
{
  "formula": "SrBeAl2",
  "functional": "SCAN",
  "state": "PBEsol geometry",
  "lattice_angstrom": [[3.708, 0.000, 0.000], [0.000, 4.050, 0.000], [-1.854, 0.000, 5.820]],
  "species": ["Al", "Sr", "Al", "Be"],
  "fractional_positions": [[0.316, 0.500, 0.632], [0.586, 0.500, 0.171], [0.870, 0.000, 0.741], [0.224, 0.000, 0.447]],
  "formation_energy_kcal_per_mol_atoms": 2.6
}



Record 3
{
  "formula": "SrBeAl2",
  "functional": "SCAN",
  "state": "PBEsol geometry",
  "lattice_angstrom": [[-1.110, -2.610, -0.553], [2.735, -0.119, -4.927], [2.725, -2.104, 4.463]],
  "species": ["Al", "Be", "Al", "Sr"],
  "fractional_positions": [[0.000, 0.500, 0.000], [0.500, 0.000, 0.000], [0.000, 0.000, 0.500], [0.500, 0.500, 0.500]],
  "formation_energy_kcal_per_mol_atoms": 12.8
}



Record 4
{
  "formula": "TaBeAl2",
  "functional": "SCAN",
  "state": "PBEsol geometry",
  "lattice_angstrom": [[-1.411, 2.141, 1.491], [-0.243, -1.908, 2.258], [5.636, 2.074, 2.357]],
  "species": ["Al", "Al", "Be", "Ta"],
  "fractional_positions": [[0.000, 0.000, 0.290], [0.000, 0.000, 0.710], [0.500, 0.500, 0.500], [0.500, 0.500, 0.000]],
  "formation_energy_kcal_per_mol_atoms": 0.4
}



Record 5
{
  "formula": "TaBeAl3",
  "functional": "SCAN",
  "state": "PBEsol geometry",
  "lattice_angstrom": [[-1.001, 2.100, 3.572], [-2.446, -3.266, 1.235], [3.345, -1.760, 1.971]],
  "species": ["Al", "Ta", "Al", "Al", "Be"],
  "fractional_positions": [[0.000, 0.000, 0.500], [0.500, 0.500, 0.500], [0.500, 0.000, 0.000], [0.000, 0.500, 0.000], [0.000, 0.000, 0.000]],
  "formation_energy_kcal_per_mol_atoms": 16.0
}



Record 6
{
  "formula": "TaBeAl2",
  "functional": "SCAN",
  "state": "PBEsol geometry",
  "lattice_angstrom": [[2.886, 0.000, 0.000], [0.000, 3.742, 0.000], [0.000, 0.000, 5.424]],
  "species": ["Al", "Al", "Be", "Ta"],
  "fractional_positions": [[0.500, 0.500, 0.258], [0.000, 0.000, 0.997], [0.000, 0.000, 0.502], [0.500, 0.500, 0.743]],
  "formation_energy_kcal_per_mol_atoms": 0.3
}



Record 7
{
  "formula": "Ta3BeAl",
  "functional": "SCAN",
  "state": "PBEsol geometry",
  "lattice_angstrom": [[4.361, 0.000, 0.000], [0.000, 4.361, 0.000], [0.000, 0.000, 4.361]],
  "species": ["Be", "Ta", "Ta", "Al", "Ta"],
  "fractional_positions": [[0.000, 0.000, 0.000], [0.000, 0.000, 0.500], [0.500, 0.000, 0.000], [0.500, 0.500, 0.500], [0.000, 0.500, 0.000]],
  "formation_energy_kcal_per_mol_atoms": 9.9
}



Record 8
{
  "formula": "BeAlTc2",
  "functional": "SCAN",
  "state": "PBEsol geometry",
  "lattice_angstrom": [[-0.246, -2.600, -0.084], [3.927, 0.493, -2.645], [0.703, 0.561, 4.675]],
  "species": ["Be", "Tc", "Tc", "Al"],
  "fractional_positions": [[0.500, 0.500, 0.500], [0.000, 0.000, 0.500], [0.000, 0.500, 0.000], [0.500, 0.000, 0.000]],
  "formation_energy_kcal_per_mol_atoms": -3.7
}



Record 9
{
  "formula": "BeAlTc2",
  "functional": "SCAN",
  "state": "PBEsol geometry",
  "lattice_angstrom": [[2.772, 0.000, 0.000], [0.000, 3.875, 0.000], [-1.386, 0.000, 4.687]],
  "species": ["Tc", "Be", "Al", "Tc"],
  "fractional_positions": [[0.084, 0.000, 0.168], [0.686, 0.500, 0.372], [0.819, 0.000, 0.638], [0.436, 0.500, 0.872]],
  "formation_energy_kcal_per_mol_atoms": -4.2
}



Record 10
{
  "formula": "Be2AlTc2",
  "functional": "SCAN",
  "state": "PBEsol geometry",
  "lattice_angstrom": [[-1.010, -2.048, -2.128], [0.192, -4.332, 4.076], [-5.628, 1.187, 1.527]],
  "species": ["Al", "Be", "Be", "Al", "Be", "Tc", "Tc", "Tc", "Tc", "Be"],
  "fractional_positions": [[0.000, 0.500, 0.500], [0.000, 0.381, 0.881], [0.000, 0.119, 0.381], [0.000, 0.000, 0.000], [0.000, 0.619, 0.119], [0.500, 0.675, 0.825], [0.500, 0.825, 0.325], [0.500, 0.325, 0.175], [0.500, 0.175, 0.675], [0.000, 0.881, 0.619]],
  "formation_energy_kcal_per_mol_atoms": -12.2
}



Record 11
{
  "formula": "Be4AlTc",
  "functional": "SCAN",
  "state": "PBEsol geometry",
  "lattice_angstrom": [[4.345, 0.000, 0.000], [2.172, 3.763, 0.000], [2.172, 1.254, 3.548]],
  "species": ["Al", "Be", "Be", "Tc", "Be", "Be"],
  "fractional_positions": [[0.000, 0.000, 0.000], [0.378, 0.378, 0.867], [0.867, 0.378, 0.378], [0.750, 0.750, 0.750], [0.378, 0.378, 0.378], [0.378, 0.867, 0.378]],
  "formation_energy_kcal_per_mol_atoms": -6.3
}



Record 12
{
  "formula": "BeAl2TcW",
  "functional": "SCAN",
  "state": "PBEsol geometry",
  "lattice_angstrom": [[4.236, 0.000, 0.000], [0.000, 4.669, 0.000], [0.000, 0.000, 4.669]],
  "species": ["Al", "Be", "Tc", "W", "Al"],
  "fractional_positions": [[0.000, 0.500, 0.000], [0.500, 0.000, 0.000], [0.500, 0.500, 0.500], [0.000, 0.000, 0.000], [0.000, 0.000, 0.500]],
  "formation_energy_kcal_per_mol_atoms": 33.0
}



Record 13
{
  "formula": "Be2AlTe",
  "functional": "SCAN",
  "state": "PBEsol geometry",
  "lattice_angstrom": [[3.458, 0.000, 0.020], [0.000, 3.555, 0.000], [-0.036, 0.000, 5.532]],
  "species": ["Al", "Te", "Be", "Be"],
  "fractional_positions": [[0.000, 0.500, 0.500], [0.500, 0.500, 0.000], [0.500, 0.000, 0.684], [0.500, 0.000, 0.316]],
  "e_form_raw_ev_per_atom": 0.44
}



Record 14
{
  "formula": "BeAl2Te",
  "functional": "SCAN",
  "state": "PBEsol geometry",
  "lattice_angstrom": [[3.522, 0.000, 0.000], [1.761, 4.838, 0.039], [1.761, 2.070, 4.373]],
  "species": ["Te", "Al", "Al", "Be"],
  "fractional_positions": [[0.214, 0.286, 0.286], [0.007, 0.993, 0.993], [0.779, 0.721, 0.721], [0.499, 0.501, 0.501]],
  "e_form_raw_ev_per_atom": 0.43
}



Record 15
{
  "formula": "BeAl2Te",
  "functional": "SCAN",
  "state": "PBEsol geometry",
  "lattice_angstrom": [[3.787, 0.000, 0.000], [0.000, 3.787, 0.000], [-1.893, -1.893, 5.160]],
  "species": ["Al", "Be", "Al", "Te"],
  "fractional_positions": [[0.750, 0.250, 0.500], [0.500, 0.500, 0.000], [0.250, 0.750, 0.500], [0.000, 0.000, 0.000]],
  "e_form_raw_ev_per_atom": 0.41
}



Record 16
{
  "formula": "BeAl2Te",
  "functional": "SCAN",
  "state": "PBEsol geometry",
  "lattice_angstrom": [[-2.597, 1.581, 2.190], [0.830, -2.424, 2.734], [3.623, 3.355, 1.875]],
  "species": ["Al", "Al", "Be", "Te"],
  "fractional_positions": [[0.000, 0.500, 0.000], [0.500, 0.000, 0.000], [0.500, 0.500, 0.500], [0.000, 0.000, 0.500]],
  "e_form_raw_ev_per_atom": 0.44
}



Record 17
{
  "formula": "BeAl2Te",
  "functional": "SCAN",
  "state": "PBEsol geometry",
  "lattice_angstrom": [[-0.565, 1.735, 3.152], [-3.535, 0.326, -0.813], [-1.067, -5.079, 2.604]],
  "species": ["Al", "Be", "Al", "Te"],
  "fractional_positions": [[0.500, 0.500, 0.193], [0.000, 0.000, 0.606], [0.000, 0.000, 0.050], [0.500, 0.500, 0.651]],
  "e_form_raw_ev_per_atom": 0.35
}



Record 18
{
  "formula": "BeAlTe",
  "functional": "SCAN",
  "state": "PBEsol geometry",
  "lattice_angstrom": [[-4.484, -0.169, -0.142], [-2.328, -0.992, 3.709], [-2.432, 3.175, 2.040]],
  "species": ["Al", "Be", "Te"],
  "fractional_positions": [[0.250, 0.250, 0.250], [0.000, 0.000, 0.000], [0.500, 0.500, 0.500]],
  "e_form_raw_ev_per_atom": 0.68
}



Record 19
{
  "formula": "BeAl2Te",
  "functional": "SCAN",
  "state": "PBEsol geometry",
  "lattice_angstrom": [[-3.268, 0.679, 1.499], [-0.753, -1.207, 3.371], [1.004, 5.480, 4.172]],
  "species": ["Al", "Be", "Al", "Te"],
  "fractional_positions": [[0.761, 0.761, 0.717], [0.502, 0.502, 0.495], [0.004, 0.004, 0.987], [0.233, 0.233, 0.300]],
  "e_form_raw_ev_per_atom": 0.29
}



Record 20
{
  "formula": "BeAlTe",
  "functional": "SCAN",
  "state": "PBEsol geometry",
  "lattice_angstrom": [[-2.031, 2.021, -1.836], [0.723, -2.937, -1.559], [-3.818, -1.893, 4.055]],
  "species": ["Al", "Te", "Be"],
  "fractional_positions": [[0.974, 0.974, 0.948], [0.694, 0.694, 0.387], [0.332, 0.332, 0.665]],
  "e_form_raw_ev_per_atom": 0.47
}